Record 1
VASP calculation (PBE) on a relaxed Mg2BiIr crystal.

The space group is F-43m (No. 216) and the conventional cell measures 6.787, 6.787 and 6.787 Å, with angles of 90.00, 90.00 and 90.00 degrees. The asymmetric unit holds Mg at (0.000, 0.000, 0.000), Mg at (0.250, 0.250, 0.250), Bi at (0.000, 0.000, 0.500) and Ir at (0.250, 0.250, 0.750).

As for the electronic total energy: -64.26 eV per cell.

***

Record 2
VASP calculation (PBE) on a relaxed MgBi2Ir crystal.

The space group is F-43m (No. 216) and the conventional cell measures 7.136, 7.136 and 7.136 Å, with angles of 90.00, 90.00 and 90.00 degrees. The asymmetric unit holds Mg at (0.000, 0.000, 0.000), Bi at (0.000, 0.000, 0.500), Bi at (0.250, 0.250, 0.750) and Ir at (0.250, 0.250, 0.250).

As for the electronic total energy: -68.30 eV per cell.

***

Record 3
VASP calculation (PBE) on a relaxed MgZnBiIr crystal.

The space group is F-43m (No. 216) and the conventional cell measures 6.723, 6.723 and 6.723 Å, with angles of 90.00, 90.00 and 90.00 degrees. The asymmetric unit holds Mg at (0.000, 0.000, 0.000), Zn at (0.250, 0.250, 0.250), Bi at (0.000, 0.000, 0.500) and Ir at (0.250, 0.250, 0.750).

The energy above the most stable polymorph in this dataset is 0 meV per atom.

***

Record 4
VASP calculation (PBE) on a relaxed BiMoIr2 crystal.

The space group is F-43m (No. 216) and the conventional cell measures 6.512, 6.512 and 6.512 Å, with angles of 90.00, 90.00 and 90.00 degrees. The asymmetric unit holds Bi at (0.000, 0.000, 0.000), Mo at (0.250, 0.250, 0.250), Ir at (0.000, 0.000, 0.500) and Ir at (0.250, 0.250, 0.750).

As for the electronic total energy: -122.22 eV per cell.

***

Record 5
VASP calculation (PBE) on a relaxed BiMo2Ir crystal.

The space group is F-43m (No. 216) and the conventional cell measures 6.574, 6.574 and 6.574 Å, with angles of 90.00, 90.00 and 90.00 degrees. The asymmetric unit holds Bi at (0.000, 0.000, 0.000), Mo at (0.000, 0.000, 0.500), Mo at (0.250, 0.250, 0.750) and Ir at (0.250, 0.250, 0.250).

As for the electronic total energy: -128.65 eV per cell.

***

Record 6
VASP calculation (PBE) on a relaxed NaBiIr crystal.

The space group is F-43m (No. 216) and the conventional cell measures 6.443, 6.443 and 6.443 Å, with angles of 90.00, 90.00 and 90.00 degrees. The asymmetric unit holds Na at (0.000, 0.000, 0.000), Bi at (0.250, 0.250, 0.750) and Ir at (0.250, 0.250, 0.250).

The energy above the most stable polymorph in this dataset is 646 meV per atom.

***

Record 7
VASP calculation (PBE) on a relaxed NaBiIr crystal.

The space group is F-43m (No. 216) and the conventional cell measures 6.524, 6.524 and 6.524 Å, with angles of 90.00, 90.00 and 90.00 degrees. The asymmetric unit holds Na at (0.000, 0.000, 0.000), Bi at (0.000, 0.000, 0.500) and Ir at (0.250, 0.250, 0.750).

The energy above the most stable polymorph in this dataset is 0 meV per atom.

***

Record 8
VASP calculation (PBE) on a relaxed NaBi5Ir3 crystal.

The space group is P6/mmm (No. 191) and the conventional cell measures 5.8345, 5.8345 and 8.3474 Å, with angles of 90.00, 90.00 and 120.00 degrees. The asymmetric unit holds Na at (0.0000, 0.0000, 0.0000), Bi at (0.0000, 0.0000, 0.5000), Bi at (0.3333, 0.6667, 0.2289) and Ir at (0.0000, 0.5000, 0.5000).

As for the electronic total energy: -47.51 eV per cell.